3
Lattice="-1.698 1.698 3.068 1.698 -1.698 3.068 1.698 1.698 -3.068" Properties=species:S:1:pos:R:3 comment="PaN2 (PBE, optimized geometry)" final_energy_ev_per_cell=-29.48 polymorph_energy_ev_per_fu=0.000 pbc="T T T"
N 0.000 0.000 2.370
N 0.000 0.000 3.765
Pa 0.000 0.000 0.000